Record 1
Sr3VN3: relaxed, PBE-GGA.

Geometry as POSCAR:
```
Sr3VN3
1.0
7.7605 0.0000 0.0000
-3.8803 6.7208 0.0000
0.0000 0.0000 5.3951
Sr V N
6 2 6
Direct
0.0954 0.3697 0.2500
0.2743 0.9046 0.2500
0.3697 0.2743 0.7500
0.6303 0.7257 0.2500
0.7257 0.0954 0.7500
0.9046 0.6303 0.7500
0.3333 0.6667 0.7500
0.6667 0.3333 0.2500
0.1243 0.4136 0.7500
0.2893 0.8757 0.7500
0.4136 0.2893 0.2500
0.5864 0.7107 0.7500
0.7107 0.1243 0.2500
0.8757 0.5864 0.2500
```

## Properties
Its energy above the most stable polymorph in this dataset is 0.00 eV per formula unit.

***

Record 2
SrVN: relaxed, PBE-GGA.

Geometry as POSCAR:
```
SrVN
1.0
4.2305 -2.8238 0.0000
4.2305 2.8238 0.0000
-2.6811 0.0000 4.8118
Sr V N
2 2 2
Direct
0.1326 0.1326 0.3467
0.8674 0.8674 0.6533
0.3888 0.3593 0.0546
0.6407 0.6112 0.9454
0.6041 0.0062 0.1471
0.9938 0.3959 0.8529
```

## Properties
Its energy above the most stable polymorph in this dataset is 1.05 eV per formula unit.

***

Record 3
SrVN: relaxed, PBE-GGA.

Geometry as POSCAR:
```
SrVN
1.0
11.3437 0.0000 0.0000
0.0000 1.6672 2.8871
0.0000 -1.6672 2.8871
Sr V N
2 2 2
Direct
0.1335 0.0000 0.0000
0.8665 0.0000 0.0000
0.4106 0.6641 0.6641
0.5894 0.6641 0.6641
0.0000 0.6666 0.6666
0.5000 0.9974 0.9974
```

## Properties
Its energy above the most stable polymorph in this dataset is 2.52 eV per formula unit.